This record from Alexandria describes TaTcO2 after structural relaxation. The functional is PBE-GGA.

energy = -133.8 eV per cell
raw formation energy = -331 meV per atom

abc: 5.600 5.600 5.600
angles: 90.00 90.00 90.00
Space group Fm-3m (No. 225)
One atom of each set of equivalent atoms:
Ta (0.000, 0.000, 0.000)
Tc (0.000, 0.000, 0.500)
O (0.250, 0.250, 0.250)